Ac2BeGePd6, optimized geometry, DFT PBE; total magnetic moment = 0.00 μB/cell; ΔH_f (0 K) = -0.703 eV/atom; E = -5.48 eV/atom; DOS(E_F) = 5.67 states/eV per cell
1.0
6.114 0.016 0.015
-0.026 7.065 -0.825
3.048 3.044 4.280
Pd Ac Ge Be
6 2 1 1
Cartesian
7.714 5.104 3.812 Pd
4.664 5.023 -0.323 Pd
6.094 6.503 1.681 Pd
1.422 5.021 -0.342 Pd
4.472 5.102 3.793 Pd
3.042 3.622 1.788 Pd
6.103 3.016 2.149 Ac
3.033 7.108 1.321 Ac
0.000 0.000 0.000 Ge
3.044 3.540 -0.405 Be